Record 1
{
  "formula": "NaAcGaSn",
  "functional": "GGA-PBE",
  "state": "relaxed",
  "energy_ev_per_atom": -3.439,
  "ef_kj_per_mol_atoms": -31.3,
  "sg": "F-43m, No. 216",
  "lattice_angstrom": [[7.766, 0.000, 0.000], [0.000, 7.766, 0.000], [0.000, 0.000, 7.766]],
  "species": ["Na", "Na", "Na", "Na", "Ac", "Ac", "Ac", "Ac", "Ga", "Ga", "Ga", "Ga", "Sn", "Sn", "Sn", "Sn"],
  "fractional_positions": [[0.000, 0.000, 0.000], [0.000, 0.500, 0.500], [0.500, 0.000, 0.500], [0.500, 0.500, 0.000], [0.000, 0.000, 0.500], [0.000, 0.500, 0.000], [0.500, 0.000, 0.000], [0.500, 0.500, 0.500], [0.250, 0.250, 0.250], [0.250, 0.750, 0.750], [0.750, 0.250, 0.750], [0.750, 0.750, 0.250], [0.250, 0.250, 0.750], [0.250, 0.750, 0.250], [0.750, 0.250, 0.250], [0.750, 0.750, 0.750]]
}

***

Record 2
{
  "formula": "NaSrAcGa",
  "functional": "GGA-PBE",
  "state": "relaxed",
  "energy_ev_per_atom": -2.648,
  "ef_kj_per_mol_atoms": -11.0,
  "sg": "F-43m, No. 216",
  "lattice_angstrom": [[8.131, 0.000, 0.000], [0.000, 8.131, 0.000], [0.000, 0.000, 8.131]],
  "species": ["Na", "Na", "Na", "Na", "Sr", "Sr", "Sr", "Sr", "Ac", "Ac", "Ac", "Ac", "Ga", "Ga", "Ga", "Ga"],
  "fractional_positions": [[0.000, 0.000, 0.000], [0.000, 0.500, 0.500], [0.500, 0.000, 0.500], [0.500, 0.500, 0.000], [0.250, 0.250, 0.750], [0.250, 0.750, 0.250], [0.750, 0.250, 0.250], [0.750, 0.750, 0.750], [0.250, 0.250, 0.250], [0.250, 0.750, 0.750], [0.750, 0.250, 0.750], [0.750, 0.750, 0.250], [0.000, 0.000, 0.500], [0.000, 0.500, 0.000], [0.500, 0.000, 0.000], [0.500, 0.500, 0.500]]
}

***

Record 3
{
  "formula": "NaAcTbGa",
  "functional": "GGA-PBE",
  "state": "relaxed",
  "energy_ev_per_atom": -3.360,
  "ef_kj_per_mol_atoms": -8.6,
  "sg": "F-43m, No. 216",
  "lattice_angstrom": [[7.775, 0.000, 0.000], [0.000, 7.775, 0.000], [0.000, 0.000, 7.775]],
  "species": ["Na", "Na", "Na", "Na", "Ac", "Ac", "Ac", "Ac", "Tb", "Tb", "Tb", "Tb", "Ga", "Ga", "Ga", "Ga"],
  "fractional_positions": [[0.000, 0.000, 0.000], [0.000, 0.500, 0.500], [0.500, 0.000, 0.500], [0.500, 0.500, 0.000], [0.250, 0.250, 0.250], [0.250, 0.750, 0.750], [0.750, 0.250, 0.750], [0.750, 0.750, 0.250], [0.250, 0.250, 0.750], [0.250, 0.750, 0.250], [0.750, 0.250, 0.250], [0.750, 0.750, 0.750], [0.000, 0.000, 0.500], [0.000, 0.500, 0.000], [0.500, 0.000, 0.000], [0.500, 0.500, 0.500]]
}

***

Record 4
{
  "formula": "Na2AcGaTe4",
  "functional": "GGA-PBE",
  "state": "relaxed",
  "energy_ev_per_atom": -3.640,
  "e_form_raw_mev_per_atom": -847,
  "sg": "C2/c, No. 15",
  "lattice_angstrom": [[6.396, -6.530, 0.000], [6.396, 6.530, 0.000], [-5.741, 0.000, 6.464]],
  "species": ["Na", "Na", "Na", "Na", "Ac", "Ac", "Ga", "Ga", "Te", "Te", "Te", "Te", "Te", "Te", "Te", "Te"],
  "fractional_positions": [[0.000, 0.000, 0.000], [0.000, 0.000, 0.500], [0.000, 0.500, 0.000], [0.500, 0.000, 0.500], [0.000, 0.500, 0.500], [0.500, 0.000, 0.000], [0.500, 0.500, 0.000], [0.500, 0.500, 0.500], [0.243, 0.754, 0.006], [0.246, 0.757, 0.494], [0.293, 0.304, 0.019], [0.304, 0.293, 0.519], [0.696, 0.707, 0.481], [0.707, 0.696, 0.981], [0.754, 0.243, 0.506], [0.757, 0.246, 0.994]]
}

***

Record 5
{
  "formula": "NaAcZnGa",
  "functional": "GGA-PBE",
  "state": "relaxed",
  "energy_ev_per_atom": -2.619,
  "ef_kj_per_mol_atoms": -18.0,
  "sg": "F-43m, No. 216",
  "lattice_angstrom": [[7.528, 0.000, 0.000], [0.000, 7.528, 0.000], [0.000, 0.000, 7.528]],
  "species": ["Na", "Na", "Na", "Na", "Ac", "Ac", "Ac", "Ac", "Zn", "Zn", "Zn", "Zn", "Ga", "Ga", "Ga", "Ga"],
  "fractional_positions": [[0.000, 0.000, 0.000], [0.000, 0.500, 0.500], [0.500, 0.000, 0.500], [0.500, 0.500, 0.000], [0.000, 0.000, 0.500], [0.000, 0.500, 0.000], [0.500, 0.000, 0.000], [0.500, 0.500, 0.500], [0.250, 0.250, 0.750], [0.250, 0.750, 0.250], [0.750, 0.250, 0.250], [0.750, 0.750, 0.750], [0.250, 0.250, 0.250], [0.250, 0.750, 0.750], [0.750, 0.250, 0.750], [0.750, 0.750, 0.250]]
}

***

Record 6
{
  "formula": "AcNbGa2O8",
  "functional": "GGA-PBE",
  "state": "relaxed",
  "energy_ev_per_atom": -6.952,
  "e_form_raw_mev_per_atom": -1961,
  "sg": "I-4m2, No. 119",
  "lattice_angstrom": [[-3.430, 3.430, 3.417], [3.430, -3.430, 3.417], [3.430, 3.430, -3.417]],
  "species": ["Ac", "Nb", "Ga", "Ga", "O", "O", "O", "O", "O", "O", "O", "O"],
  "fractional_positions": [[0.000, 0.000, 0.000], [0.750, 0.250, 0.500], [0.250, 0.750, 0.500], [0.500, 0.500, 0.000], [0.038, 0.375, 0.337], [0.038, 0.701, 0.663], [0.111, 0.320, 0.792], [0.299, 0.962, 0.337], [0.528, 0.320, 0.208], [0.625, 0.962, 0.663], [0.680, 0.472, 0.792], [0.680, 0.889, 0.208]]
}

***

Record 7
{
  "formula": "Ac2NdGa2",
  "functional": "GGA-PBE",
  "state": "relaxed",
  "energy_ev_per_atom": -4.226,
  "ef_kj_per_mol_atoms": -40.4,
  "sg": "C2/m, No. 12",
  "lattice_angstrom": [[6.319, -2.496, 0.000], [6.319, 2.496, 0.000], [-5.805, 0.000, 10.037]],
  "species": ["Ac", "Ac", "Ac", "Ac", "Nd", "Nd", "Ga", "Ga", "Ga", "Ga"],
  "fractional_positions": [[0.015, 0.015, 0.179], [0.191, 0.191, 0.598], [0.809, 0.809, 0.402], [0.985, 0.985, 0.821], [0.292, 0.292, 0.147], [0.708, 0.708, 0.853], [0.374, 0.374, 0.931], [0.464, 0.464, 0.589], [0.536, 0.536, 0.411], [0.626, 0.626, 0.069]]
}

***

Record 8
{
  "formula": "AcNdGa4",
  "functional": "GGA-PBE",
  "state": "relaxed",
  "energy_ev_per_atom": -3.993,
  "ef_kj_per_mol_atoms": -47.8,
  "sg": "F-43m, No. 216",
  "lattice_angstrom": [[0.000, 4.077, 4.077], [4.077, 0.000, 4.077], [4.077, 4.077, 0.000]],
  "species": ["Ac", "Nd", "Ga", "Ga", "Ga", "Ga"],
  "fractional_positions": [[0.000, 0.000, 0.000], [0.250, 0.250, 0.250], [0.126, 0.625, 0.625], [0.625, 0.126, 0.625], [0.625, 0.625, 0.126], [0.625, 0.625, 0.625]]
}

***

Record 9
{
  "formula": "Ac2NdGa6",
  "functional": "GGA-PBE",
  "state": "relaxed",
  "energy_ev_per_atom": -3.856,
  "ef_kj_per_mol_atoms": -38.1,
  "sg": "Immm, No. 71",
  "lattice_angstrom": [[-2.250, 3.722, 7.417], [2.250, -3.722, 7.417], [2.250, 3.722, -7.417]],
  "species": ["Ac", "Ac", "Nd", "Ga", "Ga", "Ga", "Ga", "Ga", "Ga"],
  "fractional_positions": [[0.154, 0.154, 0.000], [0.846, 0.846, 0.000], [0.500, 0.000, 0.500], [0.172, 0.500, 0.672], [0.185, 0.354, 0.832], [0.478, 0.646, 0.832], [0.522, 0.354, 0.168], [0.815, 0.646, 0.168], [0.828, 0.500, 0.328]]
}

***

Record 10
{
  "formula": "AcNd5Ga6",
  "functional": "GGA-PBE",
  "state": "relaxed",
  "energy_ev_per_atom": -4.368,
  "ef_kj_per_mol_atoms": -50.7,
  "sg": "Immm, No. 71",
  "lattice_angstrom": [[-2.647, 3.713, 7.959], [2.647, -3.713, 7.959], [2.647, 3.713, -7.959]],
  "species": ["Ac", "Nd", "Nd", "Nd", "Nd", "Nd", "Ga", "Ga", "Ga", "Ga", "Ga", "Ga"],
  "fractional_positions": [[0.000, 0.000, 0.000], [0.161, 0.661, 0.500], [0.329, 0.329, 0.000], [0.500, 0.000, 0.500], [0.671, 0.671, 0.000], [0.839, 0.339, 0.500], [0.089, 0.829, 0.259], [0.270, 0.500, 0.770], [0.430, 0.171, 0.259], [0.570, 0.829, 0.741], [0.730, 0.500, 0.230], [0.911, 0.171, 0.741]]
}

***

Record 11
{
  "formula": "AcNd2Ga3",
  "functional": "GGA-PBE",
  "state": "relaxed",
  "energy_ev_per_atom": -4.297,
  "ef_kj_per_mol_atoms": -49.2,
  "sg": "P4/mmm, No. 123",
  "lattice_angstrom": [[3.770, 0.000, 0.000], [0.000, 3.770, 0.000], [0.000, 0.000, 11.335]],
  "species": ["Ac", "Nd", "Nd", "Ga", "Ga", "Ga"],
  "fractional_positions": [[0.000, 0.000, 0.000], [0.000, 0.000, 0.339], [0.000, 0.000, 0.661], [0.500, 0.500, 0.185], [0.500, 0.500, 0.500], [0.500, 0.500, 0.815]]
}

***

Record 12
{
  "formula": "AcNd4Ga4",
  "functional": "GGA-PBE",
  "state": "relaxed",
  "energy_ev_per_atom": -4.199,
  "ef_kj_per_mol_atoms": -26.9,
  "sg": "P4_2/n, No. 86",
  "lattice_angstrom": [[9.406, 0.000, 0.000], [0.000, 9.406, 0.000], [0.000, 0.000, 5.933]],
  "species": ["Ac", "Ac", "Nd", "Nd", "Nd", "Nd", "Nd", "Nd", "Nd", "Nd", "Ga", "Ga", "Ga", "Ga", "Ga", "Ga", "Ga", "Ga"],
  "fractional_positions": [[0.250, 0.250, 0.250], [0.750, 0.750, 0.750], [0.097, 0.844, 0.612], [0.156, 0.597, 0.112], [0.344, 0.903, 0.112], [0.403, 0.656, 0.612], [0.597, 0.344, 0.388], [0.656, 0.097, 0.888], [0.844, 0.403, 0.888], [0.903, 0.156, 0.388], [0.006, 0.118, 0.884], [0.118, 0.494, 0.616], [0.382, 0.006, 0.616], [0.494, 0.382, 0.884], [0.506, 0.618, 0.116], [0.618, 0.994, 0.384], [0.882, 0.506, 0.384], [0.994, 0.882, 0.116]]
}